1.
The following is a DFT calculation (PBE-GGA) of Er2Fe5SiB2 after structural relaxation.

Summary:
DOS at the Fermi energy   22.14 states/eV per cell
Space-group type   P4/mbm, No. 127
Total moment   2.9 μB/f.u.

Cell: 2.9713 8.9540 8.9540 Å, 90.00 90.00 90.00°
Last column: nearest neighbours and their distance in Å.
Atoms (fractional coordinates):
Er 0.0000 0.6769 0.1769  3 B 2.57-2.71, 10 Fe 2.69-2.80
Er 0.0000 0.3231 0.8231  3 B 2.57-2.71, 10 Fe 2.69-2.80
Er 0.0000 0.8231 0.6769  3 B 2.57-2.71, 10 Fe 2.69-2.80
Er 0.0000 0.1769 0.3231  3 B 2.57-2.71, 10 Fe 2.69-2.80
Fe 0.5000 0.0000 0.5000  4 B 2.13
Fe 0.5000 0.4343 0.2835  2 B 2.14
Fe 0.5000 0.2835 0.5657  2 B 2.14
Fe 0.5000 0.9343 0.2165  2 B 2.14
Fe 0.5000 0.2165 0.0657  2 B 2.14
Fe 0.5000 0.7165 0.4343  2 B 2.14
Fe 0.5000 0.0657 0.7835  2 B 2.14
Fe 0.5000 0.5000 0.0000  4 B 2.13
Fe 0.5000 0.5657 0.7165  2 B 2.14
Fe 0.5000 0.7835 0.9343  2 B 2.14
B 0.0000 0.8799 0.3799  6 Fe 2.13-2.14
B 0.0000 0.1201 0.6201  6 Fe 2.13-2.14
B 0.0000 0.3799 0.1201  6 Fe 2.13-2.14
B 0.0000 0.6201 0.8799  6 Fe 2.13-2.14
Si 0.0000 0.5000 0.5000  8 Fe 2.51
Si 0.0000 0.0000 0.0000  8 Fe 2.51



2.
The following is a DFT calculation (PBE-GGA) of HfCoP after structural relaxation.

Summary:
DOS at the Fermi energy   0.05 states/eV per cell
Space-group type   Pnma, No. 62
Total moment   0.0 μB/f.u.
ΔH_f (0 K)   -1.13 eV per atom

Cell: 3.6714 6.2753 7.0992 Å, 90.00 90.00 90.00°
Last column: nearest neighbours and their distance in Å.
Atoms (fractional coordinates):
P 0.7500 0.2279 0.8843  4 Co 2.30-2.43
P 0.7500 0.7279 0.6157  4 Co 2.30-2.43
P 0.2500 0.7721 0.1157  4 Co 2.30-2.43
P 0.2500 0.2721 0.3843  4 Co 2.30-2.43
Co 0.7500 0.3606 0.5621  4 P 2.30-2.43
Co 0.7500 0.8606 0.9379  4 P 2.30-2.43
Co 0.2500 0.1394 0.0621  4 P 2.30-2.43
Co 0.2500 0.6394 0.4379  4 P 2.30-2.43
Hf 0.2500 0.0208 0.6828  5 P 2.64-2.67, 5 Co 2.77-2.94
Hf 0.2500 0.5208 0.8172  5 P 2.64-2.67, 5 Co 2.77-2.94
Hf 0.7500 0.9792 0.3172  5 P 2.64-2.67, 5 Co 2.77-2.94
Hf 0.7500 0.4792 0.1828  5 P 2.64-2.67, 5 Co 2.77-2.94



3.
The following is a DFT calculation (PBE-GGA) of Ba2Cd3Pt4Pb after structural relaxation.

Summary:
DOS at the Fermi energy   4.02 states/eV per cell
Space-group type   P-4m2, No. 115
Total moment   0.0 μB/f.u.
ΔH_f (0 K)   -0.49 eV per atom

Cell: 4.9150 4.9150 10.6474 Å, 90.00 90.00 90.00°
Last column: nearest neighbours and their distance in Å.
Atoms (fractional coordinates):
Ba 0.5000 0.0000 0.2261  8 Pt 3.44-3.83, 7 Cd 3.66-3.81, 2 Pb 3.81
Ba 0.0000 0.5000 0.7739  8 Pt 3.44-3.83, 7 Cd 3.66-3.81, 2 Pb 3.81
Pt 0.5000 0.5000 0.0000  4 Cd 2.77
Pt 0.0000 0.5000 0.3762  3 Cd 2.73-2.79, 2 Pb 2.79
Pt 0.5000 0.0000 0.6238  3 Cd 2.73-2.79, 2 Pb 2.79
Pt 0.0000 0.0000 0.0000  4 Cd 2.77
Cd 0.0000 0.0000 0.5000  4 Pt 2.79
Cd 0.0000 0.5000 0.1198  5 Pt 2.73-2.77
Cd 0.5000 0.0000 0.8802  5 Pt 2.73-2.77
Pb 0.5000 0.5000 0.5000  4 Pt 2.79



4.
The following is a DFT calculation (PBE-GGA) of Ce2SmHg4Pb after structural relaxation.

Summary:
DOS at the Fermi energy   19.10 states/eV per cell
Space-group type   R-3m, No. 166
Total moment   2.4 μB/f.u.
ΔH_f (0 K)   -0.35 eV per atom

Cell: 5.3288 5.3288 9.5023 Å, 73.72 73.72 60.00°
Last column: nearest neighbours and their distance in Å.
Atoms (fractional coordinates):
Hg 0.8671 0.8671 0.3986  3 Sm 3.21, 4 Ce 3.41-3.46, 3 Hg 3.58, 1 Pb 3.58
Hg 0.6185 0.6185 0.1444  4 Ce 3.15-3.29, 1 Sm 3.20, 3 Pb 3.34
Hg 0.3815 0.3815 0.8556  4 Ce 3.15-3.29, 1 Sm 3.20, 3 Pb 3.34
Hg 0.1329 0.1329 0.6014  3 Sm 3.21, 4 Ce 3.41-3.46, 3 Hg 3.58, 1 Pb 3.58
Sm 0.5000 0.5000 0.5000  8 Hg 3.20-3.21
Ce 0.2594 0.2594 0.2219  8 Hg 3.15-3.46
Ce 0.7406 0.7406 0.7781  8 Hg 3.15-3.46
Pb 0.0000 0.0000 0.0000  8 Hg 3.34-3.58, 6 Ce 3.67



5.
The following is a DFT calculation (PBE-GGA) of HoAgTe2 after structural relaxation.

Summary:
Space-group type   R3m, No. 160
Total moment   0.0 μB/f.u.

Cell: 4.2550 4.2550 7.7760 Å, 74.12 74.12 60.00°
Last column: nearest neighbours and their distance in Å.
Atoms (fractional coordinates):
Te 0.2528 0.2528 0.2416  3 Ag 3.02, 3 Ho 3.09
Te 0.0808 0.0808 0.7575  3 Ag 3.06, 3 Ho 3.12
Ag 0.6652 0.6652 0.0042  6 Te 3.02-3.06
Ho 0.5011 0.5011 0.4966  6 Te 3.09-3.12



6.
The following is a DFT calculation (PBE-GGA) of TbTmGe2Pt5 after structural relaxation.

Summary:
DOS at the Fermi energy   3.10 states/eV per cell
Space-group type   P4/mmm, No. 123
Total moment   0.0 μB/f.u.
ΔH_f (0 K)   -0.93 eV per atom

Cell: 4.2498 4.2498 9.0263 Å, 90.00 90.00 90.00°
Last column: nearest neighbours and their distance in Å.
Atoms (fractional coordinates):
Pt 0.0000 0.5000 0.2718  2 Ge 2.47
Pt 0.5000 0.0000 0.2718  2 Ge 2.47
Pt 0.5000 0.0000 0.7282  2 Ge 2.47
Pt 0.0000 0.5000 0.7282  2 Ge 2.47
Pt 0.5000 0.5000 0.5000  8 Pt 2.96, 4 Tb 3.01, 2 Ge 3.31
Tb 0.0000 0.0000 0.5000  12 Pt 2.96-3.01
Tm 0.0000 0.0000 0.0000  8 Ge 3.24, 8 Pt 3.25
Ge 0.5000 0.5000 0.1329  1 Ge 2.40, 4 Pt 2.47
Ge 0.5000 0.5000 0.8671  1 Ge 2.40, 4 Pt 2.47



7.
The following is a DFT calculation (PBE-GGA) of K2ZnSb after structural relaxation.

Summary:
DOS at the Fermi energy   4.17 states/eV per cell
Space-group type   R-3m, No. 166
Total moment   0.0 μB/f.u.
Energy above the most stable polymorph in this dataset   137 kJ/mol of formula units

Cell: 11.6741 11.6741 11.6741 Å, 18.88 18.88 18.88°
Last column: nearest neighbours and their distance in Å.
Atoms (fractional coordinates):
Zn 0.7500 0.7500 0.7500  6 K 3.74, 6 Zn 3.83
Sb 0.2500 0.2500 0.2500  6 K 3.50, 6 Sb 3.83
K 0.9956 0.9956 0.9956  3 Sb 3.50, 3 Zn 3.74, 6 K 3.83
K 0.5044 0.5044 0.5044  3 Sb 3.50, 3 Zn 3.74, 6 K 3.83



8.
The following is a DFT calculation (PBE-GGA) of Cs3ZrNp2S6 after structural relaxation.

Summary:
DOS at the Fermi energy   22.12 states/eV per cell
Space-group type   C2/m, No. 12
Total moment   9.0 μB/f.u.

Cell: 6.9883 6.9883 8.4043 Å, 97.97 97.97 120.00°
Last column: nearest neighbours and their distance in Å.
Atoms (fractional coordinates):
Zr 0.0000 0.0000 0.0000  6 S 2.67-2.68
S 0.2606 0.2606 0.8193  1 Zr 2.68, 2 Np 2.79
S 0.3809 0.0602 0.1803  1 Zr 2.67, 2 Np 2.79
S 0.9398 0.6191 0.8197  1 Zr 2.67, 2 Np 2.79
S 0.6191 0.9398 0.8197  1 Zr 2.67, 2 Np 2.79
S 0.0602 0.3809 0.1803  1 Zr 2.67, 2 Np 2.79
S 0.7394 0.7394 0.1807  1 Zr 2.68, 2 Np 2.79
Np 0.3334 0.6666 0.0000  6 S 2.79
Np 0.6666 0.3334 0.0000  6 S 2.79
Cs 0.1670 0.8330 0.5000  6 S 3.45-3.53
Cs 0.8330 0.1670 0.5000  6 S 3.45-3.53
Cs 0.5000 0.5000 0.5000  6 S 3.45-3.53



9.
The following is a DFT calculation (PBE-GGA) of TiTcSn2 after structural relaxation.

Summary:
DOS at the Fermi energy   3.65 states/eV per cell
Space-group type   Fm-3m, No. 225
Total moment   0.0 μB/f.u.
ΔH_f (0 K)   0.02 eV per atom
Energy above the most stable polymorph in this dataset   0 kJ/mol of formula units

Cell: 4.6975 4.6975 4.6975 Å, 60.00 60.00 60.00°
Last column: nearest neighbours and their distance in Å.
Atoms (fractional coordinates):
Sn 0.7500 0.7500 0.7500  4 Tc 2.88, 4 Ti 2.88
Sn 0.2500 0.2500 0.2500  4 Tc 2.88, 4 Ti 2.88
Tc 0.5000 0.5000 0.5000  8 Sn 2.88
Ti 0.0000 0.0000 0.0000  8 Sn 2.88



10.
The following is a DFT calculation (PBE-GGA) of Ce8H after structural relaxation.

Summary:
DOS at the Fermi energy   23.91 states/eV per cell
Space-group type   P-3m1, No. 164
Total moment   0.0 μB/f.u.

Cell: 6.5438 6.5438 5.7745 Å, 90.00 90.00 120.00°
Last column: nearest neighbours and their distance in Å.
Atoms (fractional coordinates):
Ce 0.0000 0.5000 0.0128  12 Ce 3.27-3.44
Ce 0.9870 0.9935 0.9926  1 H 2.46
Ce 0.5065 0.5130 0.9926  1 H 2.46
Ce 0.6796 0.3398 0.5074  1 H 2.46
Ce 0.1602 0.3398 0.5074  1 H 2.46
Ce 0.1602 0.8204 0.5074  1 H 2.46
Ce 0.5065 0.9935 0.9926  1 H 2.46
Ce 0.6667 0.8333 0.4872  12 Ce 3.27-3.44
H 0.3333 0.1667 0.2500  6 Ce 2.46



| no. | raw total energy (eV/atom) |
| --- | --- |
| 1 | -7.29 |
| 2 | -8.62 |
| 3 | -3.93 |
| 4 | -3.04 |
| 5 | -4.20 |
| 6 | -6.32 |
| 7 | -1.79 |
| 8 | -6.52 |
| 9 | -6.55 |
| 10 | -5.64 |